Mg3Nb2O8 (PBE-GGA, optimized geometry); E_form (uncorrected) = -2.654 eV/atom
1.0
-1.619 -4.734 -1.620
2.390 -2.556 5.081
-4.449 4.943 0.833
Mg Nb O
3 2 8
Cartesian
-0.809 -2.367 -0.810 Mg
0.613 -0.656 1.303 Mg
1.777 -1.901 3.778 Mg
-1.206 -3.352 2.627 Nb
-2.471 1.004 1.667 Nb
-2.552 2.657 2.536 O
-1.126 -5.004 1.758 O
-1.330 1.480 5.115 O
-2.348 -3.827 -0.821 O
0.240 -3.335 3.809 O
-0.943 -2.069 1.294 O
-2.734 -0.278 3.000 O
-3.917 0.988 0.485 O



MgNbO2 (PBE-GGA, optimized geometry); E_form (uncorrected) = -1.644 eV/atom
1.0
-3.231 2.249 2.987
0.874 -3.384 3.493
2.034 1.918 4.844
Nb Mg O
2 2 4
Cartesian
0.000 0.000 0.000 Nb
-1.187 1.800 5.535 Nb
-1.178 -0.567 3.240 Mg
0.865 -1.017 5.789 Mg
-1.316 1.403 3.435 O
0.565 -1.295 3.847 O
0.665 0.923 6.156 O
-0.560 0.535 9.210 O



- The lowest E_form (uncorrected) belongs to which entry?
  Mg3Nb2O8